A geometry-optimized Zr3Hg4 structure, computed with GGA-PBE.

Structure (extended XYZ):
```
7
Lattice="2.488 1.437 7.669 -2.488 1.437 7.669 0.000 -2.873 7.669" Properties=species:S:1:pos:R:3 pbc="T T T"
Zr 0.000 0.000 0.000
Zr 0.000 0.000 6.052
Zr 0.000 0.000 16.956
Hg 0.000 0.000 3.020
Hg 0.000 0.000 9.053
Hg 0.000 0.000 13.955
Hg 0.000 0.000 19.987
```

Computed properties:
The value obtained for the energy relative to the elements is 0.01 eV per atom. The value obtained for the energy above the most stable polymorph in this dataset is 2.33 kcal/mol of atoms. Its electronic total energy is -3.830 eV per atom.